Record 1
This record from Alexandria via LeMat-Bulk describes an optimized crystal structure of Na2ZrTe3. The functional is PBE.

Properties
Formation energy without anion corrections   -885 meV per atom

a = 14.529 Å, b = 6.386 Å, c = 8.338 Å
α = 90.00°, β = 106.68°, γ = 90.00°
Space group C2/c (No. 15)
Unique sites:
Na1 0.172 0.002 0.086 (multiplicity 8)
Zr1 0.000 0.425 0.250 (multiplicity 4)
Te1 0.000 0.001 0.750 (multiplicity 4)
Te2 0.145 0.499 0.573 (multiplicity 8)

Record 2
This record from Alexandria via LeMat-Bulk describes an optimized crystal structure of Na5ZrTe4. The functional is PBE.

Properties
Formation energy without anion corrections   -785 meV per atom

a = 18.905 Å, b = 4.583 Å, c = 8.373 Å
α = 90.00°, β = 116.18°, γ = 90.00°
Space group C2/m (No. 12)
Unique sites:
Na1 0.000 0.000 0.000 (multiplicity 2)
Na2 0.176 0.500 0.919 (multiplicity 4)
Na3 0.177 0.500 0.436 (multiplicity 4)
Zr1 0.000 0.000 0.500 (multiplicity 2)
Te1 0.000 0.500 0.260 (multiplicity 4)
Te2 0.184 0.000 0.685 (multiplicity 4)

Record 3
This record from Alexandria via LeMat-Bulk describes an optimized crystal structure of Na3ZrTe. The functional is PBE.

Properties
Formation energy without anion corrections   494 meV per atom

a = 5.838 Å, b = 5.838 Å, c = 5.838 Å
α = 90.00°, β = 90.00°, γ = 90.00°
Space group Pm-3m (No. 221)
Unique sites:
Na1 0.000 0.000 0.500 (multiplicity 3)
Zr1 0.500 0.500 0.500 (multiplicity 1)
Te1 0.000 0.000 0.000 (multiplicity 1)

Record 4
This record from Alexandria via LeMat-Bulk describes an optimized crystal structure of Na4Th. The functional is PBE.

Properties
Formation energy   5.71 eV per formula unit

a = 6.670 Å, b = 6.670 Å, c = 6.670 Å
α = 90.00°, β = 90.00°, γ = 90.00°
Space group Pm-3m (No. 221)
Unique sites:
Na1 0.000 0.000 0.000 (multiplicity 1)
Na2 0.000 0.500 0.500 (multiplicity 3)
Th1 0.500 0.500 0.500 (multiplicity 1)

Record 5
This record from Alexandria via LeMat-Bulk describes an optimized crystal structure of NaTh. The functional is PBE.

Properties
Formation energy   0.33 eV per formula unit

a = 3.4996 Å, b = 3.4996 Å, c = 12.8019 Å
α = 90.00°, β = 90.00°, γ = 120.00°
Space group P-3m1 (No. 164)
Unique sites:
Na1 0.3333 0.6667 0.1284 (multiplicity 2)
Th1 0.3333 0.6667 0.6148 (multiplicity 2)

Record 6
This record from Alexandria via LeMat-Bulk describes an optimized crystal structure of NaTh3Tl4. The functional is PBE.

Properties
Formation energy   -0.98 eV per formula unit

a = 3.563 Å, b = 3.563 Å, c = 18.136 Å
α = 90.00°, β = 90.00°, γ = 90.00°
Space group P4/mmm (No. 123)
Unique sites:
Na1 0.000 0.000 0.000 (multiplicity 1)
Th1 0.000 0.000 0.246 (multiplicity 2)
Th2 0.000 0.000 0.500 (multiplicity 1)
Tl1 0.500 0.500 0.118 (multiplicity 2)
Tl2 0.500 0.500 0.373 (multiplicity 2)

no.,raw total energy (eV per atom)
1,-4.320
2,-3.556
3,-2.635
4,-1.397
5,-4.205
6,-4.253